[1]
DFT (GGA-PBE) results for an optimized crystal structure of MgCu2SnTe4.

Computed properties:
For the raw total energy, the calculation gives -3.5096 eV/atom. The value obtained for the energy above the most stable polymorph in this dataset is 0 meV/atom.

abc: 7.6174 7.6174 7.6174
angles: 131.46 131.46 71.08
Closest atoms and distances in Å follow each position.
Element x y z (fractional)
Mg1 0.0000 0.0000 0.0000  4 Te 2.82
Cu1 0.2500 0.7500 0.5000  4 Te 2.59
Cu2 0.7500 0.2500 0.5000  4 Te 2.59
Sn1 0.5000 0.5000 0.0000  4 Te 2.83
Te1 0.1075 0.6098 0.0000  2 Cu 2.59, 1 Mg 2.82, 1 Sn 2.83
Te2 0.3902 0.3902 0.4977  2 Cu 2.59, 1 Mg 2.82, 1 Sn 2.83
Te3 0.6098 0.1075 0.0000  2 Cu 2.59, 1 Mg 2.82, 1 Sn 2.83
Te4 0.8925 0.8925 0.5023  2 Cu 2.59, 1 Mg 2.82, 1 Sn 2.83

[2]
DFT (GGA-PBE) results for an optimized crystal structure of PuPdPt.

Computed properties:
As for the formation energy: -411.7 meV/atom. For the raw total energy, the calculation gives -8.8642 eV/atom. The value obtained for the energy above the most stable polymorph in this dataset is 0 meV/atom. The calculation puts the total magnetic moment at 1.693 μB/atom.

abc: 4.5566 4.5566 4.5566
angles: 60.00 60.00 60.00
Closest atoms and distances in Å follow each position.
Element x y z (fractional)
Pu1 0.0000 0.0000 0.0000  4 Pt 2.79
Pd1 0.5000 0.5000 0.5000  4 Pt 2.79
Pt1 0.7500 0.7500 0.7500  4 Pu 2.79, 4 Pd 2.79

[3]
DFT (GGA-PBE) results for an optimized crystal structure of MgHgTeO.

Computed properties:
For the raw total energy, the calculation gives -3.5845 eV/atom. The value obtained for the energy above the most stable polymorph in this dataset is 46 meV/atom.

abc: 2.9216 5.6342 10.5537
angles: 90.00 97.87 90.00
Closest atoms and distances in Å follow each position.
Element x y z (fractional)
Mg1 0.0000 0.0000 0.0000  4 O 2.03
Mg2 0.0055 0.5000 0.0138  4 O 2.03
Hg1 0.3792 0.5000 0.6661  2 Te 2.82, 2 Hg 2.92
Hg2 0.7154 0.0000 0.3400  2 Te 2.82, 2 Hg 2.92
Te1 0.3783 0.0000 0.6572  2 Hg 2.82, 2 Te 2.92
Te2 0.7272 0.5000 0.3526  2 Hg 2.82, 2 Te 2.92
O1 0.5025 0.2500 0.0068  4 Mg 2.03
O2 0.5025 0.7500 0.0068  4 Mg 2.03

[4]
DFT (GGA-PBE) results for an optimized crystal structure of NaTbSn.

Computed properties:
For the raw total energy, the calculation gives -3.3267 eV/atom. The calculation puts the total magnetic moment at 0.000 μB/atom.

abc: 4.9108 4.9108 4.9108
angles: 60.00 60.00 60.00
Closest atoms and distances in Å follow each position.
Element x y z (fractional)
Na1 0.0000 0.0000 0.0000  4 Sn 3.01, 4 Tb 3.01
Tb1 0.2500 0.2500 0.2500  4 Na 3.01
Sn1 0.7500 0.7500 0.7500  4 Na 3.01

[5]
DFT (GGA-PBE) results for an optimized crystal structure of LuTlCoIr.

Computed properties:
For the raw total energy, the calculation gives -5.5812 eV/atom. The value obtained for the energy above the most stable polymorph in this dataset is 265 meV/atom. The calculation puts the total magnetic moment at 0.475 μB/atom.

abc: 4.6806 4.6806 4.6806
angles: 60.00 60.00 60.00
Closest atoms and distances in Å follow each position.
Element x y z (fractional)
Lu1 0.0000 0.0000 0.0000  4 Ir 2.87, 4 Tl 2.87
Tl1 0.2500 0.2500 0.2500  4 Co 2.87, 4 Lu 2.87
Co1 0.5000 0.5000 0.5000  4 Ir 2.87, 4 Tl 2.87
Ir1 0.7500 0.7500 0.7500  4 Co 2.87, 4 Lu 2.87

[6]
DFT (GGA-PBE) results for an optimized crystal structure of Sb2Ir9.

Computed properties:
For the raw total energy, the calculation gives -7.7314 eV/atom. The calculation puts the total magnetic moment at 0.000 μB/atom.

abc: 2.8194 2.8194 31.9054
angles: 90.00 90.00 120.00
Closest atoms and distances in Å follow each position.
Element x y z (fractional)
Sb1 0.3333 0.6667 0.3490  6 Sb 2.82, 3 Ir 2.83
Sb2 0.6667 0.3333 0.6510  6 Sb 2.82, 3 Ir 2.83
Ir1 0.0000 0.0000 0.0000  12 Ir 2.74-2.82
Ir2 0.0000 0.0000 0.2065  12 Ir 2.72-2.82
Ir3 0.0000 0.0000 0.7935  12 Ir 2.72-2.82
Ir4 0.3333 0.6667 0.1380  12 Ir 2.72-2.82
Ir5 0.3333 0.6667 0.7234  9 Ir 2.77-2.82, 3 Sb 2.83
Ir6 0.3333 0.6667 0.9311  12 Ir 2.74-2.82
Ir7 0.6667 0.3333 0.0689  12 Ir 2.74-2.82
Ir8 0.6667 0.3333 0.2766  9 Ir 2.77-2.82, 3 Sb 2.83
Ir9 0.6667 0.3333 0.8620  12 Ir 2.72-2.82

[7]
DFT (GGA-PBE) results for an optimized crystal structure of MgGaTc.

Computed properties:
For the raw total energy, the calculation gives -4.6405 eV/atom. The value obtained for the energy above the most stable polymorph in this dataset is 0 meV/atom. The calculation puts the total magnetic moment at 0.059 μB/atom.

abc: 4.2316 4.2316 4.2316
angles: 60.00 60.00 60.00
Closest atoms and distances in Å follow each position.
Element x y z (fractional)
Mg1 0.0000 0.0000 0.0000  4 Ga 2.59
Ga1 0.2500 0.2500 0.2500  4 Tc 2.59, 4 Mg 2.59
Tc1 0.5000 0.5000 0.5000  4 Ga 2.59

[8]
DFT (GGA-PBE) results for an optimized crystal structure of PrHoTa.

Computed properties:
As for the formation energy: 1287.2 meV/atom. For the raw total energy, the calculation gives -5.7808 eV/atom. The calculation puts the total magnetic moment at 0.550 μB/atom.

abc: 5.0663 5.0663 5.0663
angles: 60.00 60.00 60.00
Closest atoms and distances in Å follow each position.
Element x y z (fractional)
Pr1 0.0000 0.0000 0.0000  4 Ho 3.10
Ho1 0.2500 0.2500 0.2500  4 Ta 3.10, 4 Pr 3.10
Ta1 0.5000 0.5000 0.5000  4 Ho 3.10

[9]
DFT (GGA-PBE) results for an optimized crystal structure of Nb4InBiC2.

Computed properties:
For the raw total energy, the calculation gives -8.4933 eV/atom. The calculation puts the total magnetic moment at 0.000 μB/atom.

abc: 3.2941 3.2941 14.0841
angles: 90.00 90.00 120.00
Closest atoms and distances in Å follow each position.
Element x y z (fractional)
Nb1 0.0000 0.0000 0.1687  3 C 2.22
Nb2 0.0000 0.0000 0.8313  3 C 2.22
Nb3 0.3333 0.6667 0.3308  3 C 2.22
Nb4 0.3333 0.6667 0.6692  3 C 2.22
In1 0.3333 0.6667 0.0000  6 Nb 3.04, 6 In 3.29
Bi1 0.0000 0.0000 0.5000  6 Nb 3.05, 6 Bi 3.29
C1 0.6667 0.3333 0.2499  6 Nb 2.22
C2 0.6667 0.3333 0.7501  6 Nb 2.22

[10]
DFT (GGA-PBE) results for an optimized crystal structure of LaCdAsO.

Computed properties:
For the raw total energy, the calculation gives -5.3252 eV/atom. The calculation puts the total magnetic moment at 0.000 μB/atom.

abc: 4.3705 5.8954 7.2341
angles: 90.00 90.00 90.00
Closest atoms and distances in Å follow each position.
Element x y z (fractional)
La1 0.0000 0.0782 0.0000  2 O 2.28-2.31
La2 0.0000 0.9218 0.5000  2 O 2.28-2.31
Cd1 0.5000 0.3825 0.3721  2 O 2.45, 2 As 2.62-2.66
Cd2 0.5000 0.6175 0.8721  2 O 2.45, 2 As 2.62-2.66
As1 0.5000 0.2176 0.7148  2 Cd 2.62-2.66
As2 0.5000 0.7824 0.2148  2 Cd 2.62-2.66
O1 0.0000 0.2209 0.2928  2 La 2.28-2.31, 2 Cd 2.45
O2 0.0000 0.7791 0.7928  2 La 2.28-2.31, 2 Cd 2.45

[11]
DFT (GGA-PBE) results for an optimized crystal structure of LuHg.

Computed properties:
As for the formation energy: 336.9 meV/atom. For the raw total energy, the calculation gives -2.0738 eV/atom. The calculation puts the total magnetic moment at 0.003 μB/atom.

abc: 4.6572 4.6572 4.6572
angles: 60.00 60.00 60.00
Closest atoms and distances in Å follow each position.
Element x y z (fractional)
Lu1 0.0000 0.0000 0.0000  4 Hg 2.85
Hg1 0.2500 0.2500 0.2500  4 Lu 2.85

[12]
DFT (GGA-PBE) results for an optimized crystal structure of HgPb2O4.

Computed properties:
For the raw total energy, the calculation gives -4.5947 eV/atom.

abc: 6.9634 6.9634 6.9634
angles: 60.00 60.00 60.00
Closest atoms and distances in Å follow each position.
Element x y z (fractional)
Hg1 0.1250 0.1250 0.1250  4 O 2.33
Hg2 0.8750 0.8750 0.8750  4 O 2.33
Pb1 0.0000 0.5000 0.5000  6 O 2.35
Pb2 0.5000 0.0000 0.5000  6 O 2.35
Pb3 0.5000 0.5000 0.0000  6 O 2.35
Pb4 0.5000 0.5000 0.5000  6 O 2.35
O1 0.2618 0.2618 0.2618  1 Hg 2.33, 3 Pb 2.35
O2 0.2618 0.2618 0.7145  1 Hg 2.33, 3 Pb 2.35
O3 0.2618 0.7145 0.2618  1 Hg 2.33, 3 Pb 2.35
O4 0.2855 0.7382 0.7382  1 Hg 2.33, 3 Pb 2.35
O5 0.7145 0.2618 0.2618  1 Hg 2.33, 3 Pb 2.35
O6 0.7382 0.2855 0.7382  1 Hg 2.33, 3 Pb 2.35
O7 0.7382 0.7382 0.2855  1 Hg 2.33, 3 Pb 2.35
O8 0.7382 0.7382 0.7382  1 Hg 2.33, 3 Pb 2.35